Entry 1:
A relaxed AcLuNO crystal. Source: OQMD, functional GGA-PBE.

As for the offset from the most stable computed form: 31 meV/atom. For the energy, the calculation gives -7.533 eV per atom. The crystal system is orthorhombic.

Unit cell a=3.9865 b=5.8478 c=6.8756 alpha=90.00 beta=90.00 gamma=90.00
Last column: nearest neighbours and their distance in Å.
Fractional positions:
Ac (0.0000, 0.4780, 0.3363)  2 N 2.44-2.70, 2 O 2.65
Ac (0.0000, 0.9780, 0.6637)  2 N 2.44-2.70, 2 O 2.65
Lu (0.5000, 0.9905, 0.1757)  2 O 2.13, 2 N 2.22
Lu (0.5000, 0.4905, 0.8243)  2 O 2.13, 2 N 2.22
N (0.0000, 0.9395, 0.3099)  2 Lu 2.22, 1 Ac 2.44
N (0.0000, 0.4395, 0.6901)  2 Lu 2.22, 1 Ac 2.44
O (0.5000, 0.3460, 0.1091)  2 Lu 2.13
O (0.5000, 0.8460, 0.8909)  2 Lu 2.13

=====

Entry 2:
A relaxed LiReAgSe2S crystal. Source: OQMD, functional GGA-PBE.

For the energy, the calculation gives -4.795 eV per atom. The crystal system is orthorhombic.

Unit cell a=6.8809 b=6.8809 c=9.8283 alpha=90.00 beta=90.00 gamma=151.15
Last column: nearest neighbours and their distance in Å.
Fractional positions:
Ag (0.5900, 0.4100, 0.2500)  2 Se 2.49, 2 S 2.68
Ag (0.4100, 0.5900, 0.7500)  2 Se 2.49, 2 S 2.68
Li (0.2846, 0.7154, 0.2500)  2 S 2.64, 2 Se 2.70
Li (0.7154, 0.2846, 0.7500)  2 S 2.64, 2 Se 2.70
Re (0.0000, 0.0000, 0.0000)  4 Se 2.55, 2 S 2.60
Re (0.0000, 0.0000, 0.5000)  4 Se 2.55, 2 S 2.60
S (0.9354, 0.0646, 0.2500)  2 Re 2.60, 2 Li 2.64, 2 Ag 2.68
S (0.0646, 0.9354, 0.7500)  2 Re 2.60, 2 Li 2.64, 2 Ag 2.68
Se (0.6419, 0.3581, 0.0065)  1 Ag 2.49, 2 Re 2.55, 1 Li 2.70
Se (0.6419, 0.3581, 0.4935)  1 Ag 2.49, 2 Re 2.55, 1 Li 2.70
Se (0.3581, 0.6419, 0.5065)  1 Ag 2.49, 2 Re 2.55, 1 Li 2.70
Se (0.3581, 0.6419, 0.9935)  1 Ag 2.49, 2 Re 2.55, 1 Li 2.70

=====

Entry 3:
A relaxed KLuMgSe3 crystal. Source: OQMD, functional GGA-PBE.

As for the offset from the most stable computed form: 1 meV/atom. For the energy, the calculation gives -4.472 eV per atom. The crystal system is monoclinic.

Unit cell a=8.9509 b=4.1890 c=10.0337 alpha=90.00 beta=108.08 gamma=90.00
Last column: nearest neighbours and their distance in Å.
Fractional positions:
K (0.7128, 0.2500, 0.2315)  5 Se 3.34-3.48
K (0.2872, 0.7500, 0.7685)  5 Se 3.34-3.48
Lu (0.1684, 0.2500, 0.1316)  5 Se 2.76-2.86
Lu (0.8316, 0.7500, 0.8684)  5 Se 2.76-2.86
Mg (0.4134, 0.7500, 0.3884)  4 Se 2.52-2.65
Mg (0.5866, 0.2500, 0.6116)  4 Se 2.52-2.65
Se (0.3861, 0.7500, 0.1312)  1 Mg 2.52
Se (0.9654, 0.7500, 0.1560)  3 Lu 2.76-2.83
Se (0.2870, 0.2500, 0.4557)  3 Mg 2.57-2.65
Se (0.7130, 0.7500, 0.5443)  3 Mg 2.57-2.65
Se (0.0346, 0.2500, 0.8440)  3 Lu 2.76-2.83
Se (0.6139, 0.2500, 0.8688)  1 Mg 2.52

=====

Entry 4:
A relaxed SnHg crystal. Source: OQMD, functional GGA-PBE.

For the energy, the calculation gives -1.825 eV per atom. The crystal system is cubic.

Unit cell a=4.6078 b=4.6078 c=4.6078 alpha=60.00 beta=60.00 gamma=60.00
Last column: nearest neighbours and their distance in Å.
Fractional positions:
Hg (0.0000, 0.0000, 0.0000)  4 Sn 2.82
Sn (0.2500, 0.2500, 0.2500)  4 Hg 2.82

=====

Entry 5:
A relaxed LuCd crystal. Source: OQMD, functional GGA-PBE.

For the energy, the calculation gives -2.787 eV per atom. As for the formation enthalpy at 0 K: -0.0776 eV/atom. The crystal system is hexagonal.

Unit cell a=3.3957 b=3.3957 c=5.1043 alpha=90.00 beta=90.00 gamma=120.00
Last column: nearest neighbours and their distance in Å.
Fractional positions:
Cd (0.6667, 0.3333, 0.7500)  6 Lu 3.22, 6 Cd 3.40
Lu (0.3333, 0.6667, 0.2500)  6 Cd 3.22, 6 Lu 3.40

=====

Entry 6:
A relaxed Zn2IN crystal. Source: OQMD, functional GGA-PBE.

For the energy, the calculation gives -2.840 eV per atom. The crystal system is hexagonal.

Unit cell a=3.4839 b=3.4839 c=12.7078 alpha=90.00 beta=90.00 gamma=120.00
Last column: nearest neighbours and their distance in Å.
Fractional positions:
I (0.3333, 0.6667, 0.2500)  6 Zn 3.01
I (0.6667, 0.3333, 0.7500)  6 Zn 3.01
N (0.0000, 0.0000, 0.0000)  6 Zn 2.22
N (0.0000, 0.0000, 0.5000)  6 Zn 2.22
Zn (0.6667, 0.3333, 0.0735)  3 N 2.22
Zn (0.6667, 0.3333, 0.4265)  3 N 2.22
Zn (0.3333, 0.6667, 0.5735)  3 N 2.22
Zn (0.3333, 0.6667, 0.9265)  3 N 2.22

=====

Entry 7:
A relaxed Gd3InSn2Pt3 crystal. Source: OQMD, functional GGA-PBE.

For the energy, the calculation gives -5.828 eV per atom. The crystal system is orthorhombic.

Unit cell a=3.9472 b=7.6432 c=7.6432 alpha=120.05 beta=90.00 gamma=90.00
Last column: nearest neighbours and their distance in Å.
Fractional positions:
Gd (0.5000, 0.4096, 0.4096)  5 Pt 3.04-3.09, 2 In 3.21, 4 Sn 3.39
Gd (0.5000, 0.9973, 0.5931)  5 Pt 3.04-3.12, 4 Sn 3.24-3.36, 2 In 3.35
Gd (0.5000, 0.5931, 0.9973)  5 Pt 3.04-3.12, 4 Sn 3.24-3.36, 2 In 3.35
In (0.0000, 0.7404, 0.7404)  4 Pt 2.82-2.88
Pt (0.5000, 0.0050, 0.0050)  4 Sn 2.78, 2 In 2.82, 1 Gd 3.09
Pt (0.0000, 0.6661, 0.3319)  2 Sn 2.86-2.87, 1 In 2.88, 6 Gd 3.04-3.05
Pt (0.0000, 0.3319, 0.6661)  2 Sn 2.86-2.87, 1 In 2.88, 6 Gd 3.04-3.05
Sn (0.0000, 0.9985, 0.2582)  4 Pt 2.78-2.87
Sn (0.0000, 0.2582, 0.9985)  4 Pt 2.78-2.87

=====

Entry 8:
A relaxed Ta2Ag2O5 crystal. Source: OQMD, functional GGA-PBE.

As for the offset from the most stable computed form: 0 meV/atom. For the energy, the calculation gives -7.640 eV per atom. The crystal system is tetragonal.

Unit cell a=7.5581 b=3.9633 c=3.9633 alpha=90.00 beta=90.00 gamma=90.00
Last column: nearest neighbours and their distance in Å.
Fractional positions:
Ag (0.0000, 0.0000, 0.0000)  8 O 2.65
Ag (0.5000, 0.0000, 0.0000)  12 O 2.80-2.83
O (0.2322, 0.5000, 0.0000)  2 Ta 1.98
O (0.7678, 0.5000, 0.0000)  2 Ta 1.98
O (0.2322, 0.0000, 0.5000)  2 Ta 1.98
O (0.7678, 0.0000, 0.5000)  2 Ta 1.98
O (0.5000, 0.5000, 0.5000)  2 Ta 1.99
Ta (0.2370, 0.5000, 0.5000)  5 O 1.98-1.99
Ta (0.7629, 0.5000, 0.5000)  5 O 1.98-1.99